# 1
This record from Alexandria describes a relaxed Cr8Cu crystal. The functional is PBE-GGA.

```
9
Lattice="-3.6391 3.6391 2.0073 3.6391 -3.6391 2.0073 3.6391 3.6391 -2.0073" Properties=species:S:1:pos:R:3 pbc="T T T"
Cr 2.4252 0.0000 0.0000
Cr 4.8529 0.0000 0.0000
Cr 0.0000 2.4252 0.0000
Cr 2.4594 2.4594 0.0000
Cr 1.1796 -1.1796 2.0073
Cr -1.1796 1.1796 2.0073
Cr 1.1796 1.1796 2.0073
Cr 0.0000 4.8529 0.0000
Cu 0.0000 0.0000 0.0000
```

Calculated values
Calculated volume   11.8 Å³/atom
Total energy   -8.69 eV/atom
ΔH_f (0 K)   2.89 eV/f.u.
ρ   7.49 g cm⁻³

---

# 2
This record from Alexandria describes a relaxed Fe3H4Ru crystal. The functional is PBE-GGA.

```
8
Lattice="-1.9289 1.9289 3.8661 1.9289 -1.9289 3.8661 1.9289 1.9289 -3.8661" Properties=species:S:1:pos:R:3 pbc="T T T"
Fe 0.0000 0.0000 0.0000
Fe 1.9289 0.0000 1.9330
Fe 0.0000 1.9289 1.9330
H 1.9289 0.0000 0.0000
H 0.0000 0.0000 1.9583
H 0.0000 1.9289 0.0000
H 0.0000 0.0000 5.7738
Ru 0.0000 0.0000 3.8661
```

Calculated values
Calculated volume   7.2 Å³/atom
Total energy   -5.96 eV/atom
ρ   7.87 g cm⁻³

---

# 3
This record from Alexandria describes a relaxed GaBi2BO6 crystal. The functional is PBE-GGA.

```
20
Lattice="6.3937 0.0000 0.0000 0.0000 6.1299 0.0000 -3.5440 0.0000 8.8177" Properties=species:S:1:pos:R:3 pbc="T T T"
Ga 0.0000 0.0000 0.0000
Ga -1.7720 3.0649 4.4088
Bi -1.4160 0.4454 6.1254
Bi 0.3560 2.6195 1.7166
Bi 2.4937 3.5104 7.1011
Bi 4.2657 5.6845 2.6923
B 1.4249 0.0000 4.4088
B 3.1969 3.0649 0.0000
O 0.3836 4.2915 0.1879
O -1.3884 4.9033 4.5967
O -0.2046 0.3226 1.8677
O -1.9766 2.7424 6.2765
O 0.8004 1.0006 4.8903
O 2.5724 2.0644 0.4815
O 0.2773 4.0655 8.3361
O 2.0493 5.1293 3.9273
O 4.8263 3.3875 2.5412
O 3.0543 5.8073 6.9500
O 4.2381 1.2266 4.2209
O 2.4661 1.8384 8.6298
```

Calculated values
Formation energy without anion corrections   -1.46 eV/atom
Calculated volume   17.3 Å³/atom
Total energy   -6.19 eV/atom
ρ   5.71 g cm⁻³

---

# 4
This record from Alexandria describes a relaxed AcLaPrSe3 crystal. The functional is PBE-GGA.

```
12
Lattice="8.3890 0.0000 0.0000 0.0000 4.2936 0.0000 -2.5130 0.0000 10.5208" Properties=species:S:1:pos:R:3 pbc="T T T"
Ac 1.0347 1.0734 2.2598
Ac 4.8413 3.2202 8.2610
La 0.5722 3.2202 9.5084
La 5.3038 1.0734 1.0124
Pr -0.1500 1.0734 6.5146
Pr 6.0260 3.2202 4.0063
Se -1.5056 1.0734 9.3506
Se 0.6150 3.2202 4.5874
Se 3.4380 3.2202 2.0771
Se 2.4380 1.0734 8.4437
Se 5.2610 1.0734 5.9334
Se 7.3816 3.2202 1.1702
```

Calculated values
Formation energy without anion corrections   -1.70 eV/atom
Calculated volume   31.6 Å³/atom
Total energy   -5.74 eV/atom
ρ   6.52 g cm⁻³

---

# 5
This record from Alexandria describes a relaxed NpVMo2 crystal. The functional is PBE-GGA.

```
4
Lattice="3.1986 0.0000 0.0000 0.0000 3.1986 0.0000 0.0000 0.0000 6.4914" Properties=species:S:1:pos:R:3 pbc="T T T"
Np 0.0000 0.0000 0.0000
V 0.0000 0.0000 3.2457
Mo 1.5993 1.5993 1.7332
Mo 1.5993 1.5993 4.7582
```

Calculated values
Excess energy over the best structure of this formula in the dataset   10.7 meV per atom
Calculated volume   16.6 Å³/atom
Total energy   -10.68 eV/atom
ΔH_f (0 K)   0.99 eV/f.u.
ρ   12.00 g cm⁻³

---

# 6
This record from Alexandria describes a relaxed Zr2CdBAs crystal. The functional is PBE-GGA.

```
5
Lattice="5.3217 0.0000 0.0000 0.0000 5.3217 0.0000 0.0000 0.0000 3.9233" Properties=species:S:1:pos:R:3 pbc="T T T"
Zr 0.0000 2.6609 0.0000
Zr 2.6609 0.0000 0.0000
Cd 0.0000 0.0000 0.0000
B 0.0000 0.0000 1.9616
As 2.6609 2.6609 1.9616
```

Calculated values
Calculated volume   22.2 Å³/atom
Total energy   -4.87 eV/atom
ΔH_f (0 K)   5.00 eV/f.u.
ρ   5.69 g cm⁻³